Density functional theory data (GGA+U) for Ca2YWO5 after structural relaxation.

abc: 8.589 8.589 6.100
angles: 107.39 107.39 39.40
Sites, in units of the cell vectors:
Ca (0.235, 0.765, 0.500)
Ca (0.475, 0.946, 0.825)
Ca (0.765, 0.235, 0.000)
Ca (0.946, 0.475, 0.325)
Y (0.151, 0.576, 0.844)
Y (0.576, 0.151, 0.344)
W (0.353, 0.855, 0.168)
W (0.855, 0.353, 0.668)
O (0.083, 0.193, 0.997)
O (0.092, 0.846, 0.111)
O (0.193, 0.083, 0.497)
O (0.229, 0.487, 0.484)
O (0.487, 0.229, 0.984)
O (0.513, 0.624, 0.839)
O (0.603, 0.872, 0.230)
O (0.624, 0.513, 0.339)
O (0.846, 0.092, 0.611)
O (0.872, 0.603, 0.730)

Output
The value obtained for the volume is 270.85 Å³/cell. As for the calculated total energy: -7.40 eV/atom.